Below is an optimized crystal structure of Mn2CdRu, with properties calculated at the GGA-PBE level.

Properties
**Formation energy**: 0.289 eV/atom
**Symmetry**: No. 160
**Raw total energy**: -6.844 eV per atom

abc: 2.774 2.774 26.665
angles: 90.00 90.00 120.00
Fractional coordinates of all 12 atoms:
1 Mn 0.000 0.000 0.000
2 Mn 0.000 0.000 0.260
3 Mn 0.333 0.667 0.667
4 Mn 0.333 0.667 0.927
5 Mn 0.667 0.333 0.333
6 Mn 0.667 0.333 0.594
7 Cd 0.000 0.000 0.758
8 Cd 0.333 0.667 0.425
9 Cd 0.667 0.333 0.092
10 Ru 0.000 0.000 0.519
11 Ru 0.333 0.667 0.186
12 Ru 0.667 0.333 0.852

Below is an optimized crystal structure of MnCdRu3, with properties calculated at the GGA-PBE level.

Properties
**Formation energy**: 1.074 eV/atom
**Excess energy over the best structure of this formula in the dataset**: 0.0 meV per atom
**Symmetry**: No. 221
**Raw total energy**: -6.509 eV per atom

abc: 4.434 4.434 4.434
angles: 90.00 90.00 90.00
Fractional coordinates of all 5 atoms:
1 Mn 0.000 0.000 0.000
2 Cd 0.500 0.500 0.500
3 Ru 0.000 0.000 0.500
4 Ru 0.000 0.500 0.000
5 Ru 0.500 0.000 0.000

Below is an optimized crystal structure of Mn2CdRu, with properties calculated at the GGA-PBE level.

Properties
**Formation energy**: 0.404 eV/atom
**Symmetry**: No. 10
**Raw total energy**: -6.729 eV per atom

abc: 4.727 2.849 4.929
angles: 90.00 109.75 90.00
Fractional coordinates of all 4 atoms:
1 Mn 0.000 0.000 0.000
2 Mn 0.000 0.500 0.500
3 Cd 0.500 0.000 0.500
4 Ru 0.500 0.500 0.000

Below is an optimized crystal structure of Mn2CdRu, with properties calculated at the GGA-PBE level.

Properties
**Formation energy**: 0.216 eV/atom
**Symmetry**: No. 99
**Raw total energy**: -6.916 eV per atom

abc: 2.771 2.771 7.639
angles: 90.00 90.00 90.00
Fractional coordinates of all 4 atoms:
1 Mn 0.000 0.000 0.000
2 Mn 0.500 0.500 0.220
3 Cd 0.500 0.500 0.710
4 Ru 0.000 0.000 0.420

Below is an optimized crystal structure of Mn2CdRu, with properties calculated at the GGA-PBE level.

Properties
**Formation energy**: 0.314 eV/atom
**Symmetry**: No. 166
**Raw total energy**: -6.818 eV per atom

abc: 2.868 2.868 26.553
angles: 90.00 90.00 120.00
Fractional coordinates of all 12 atoms:
1 Mn 0.000 0.000 0.242
2 Mn 0.000 0.000 0.758
3 Mn 0.333 0.667 0.424
4 Mn 0.333 0.667 0.909
5 Mn 0.667 0.333 0.091
6 Mn 0.667 0.333 0.576
7 Cd 0.000 0.000 0.000
8 Cd 0.333 0.667 0.667
9 Cd 0.667 0.333 0.333
10 Ru 0.000 0.000 0.500
11 Ru 0.333 0.667 0.167
12 Ru 0.667 0.333 0.833

Below is an optimized crystal structure of MnCdTeRu2, with properties calculated at the GGA-PBE level.

Properties
**ΔE_f (raw)**: 2.5269 eV/atom
**Symmetry**: No. 123
**Raw total energy**: -3.829 eV per atom

abc: 4.894 4.894 5.148
angles: 90.00 90.00 90.00
Fractional coordinates of all 5 atoms:
1 Mn 0.000 0.000 0.000
2 Cd 0.500 0.500 0.500
3 Te 0.500 0.500 0.000
4 Ru 0.000 0.500 0.500
5 Ru 0.500 0.000 0.500

Below is an optimized crystal structure of MnCdS2, with properties calculated at the GGA-PBE level.

Properties
**ΔE_f (raw)**: -0.1674 eV/atom
**Symmetry**: No. 166
**Raw total energy**: -4.752 eV per atom

abc: 4.065 4.065 21.614
angles: 90.00 90.00 120.00
Fractional coordinates of all 12 atoms:
1 Mn 0.000 0.000 0.000
2 Mn 0.333 0.667 0.667
3 Mn 0.667 0.333 0.333
4 Cd 0.000 0.000 0.500
5 Cd 0.333 0.667 0.167
6 Cd 0.667 0.333 0.833
7 S 0.000 0.000 0.102
8 S 0.000 0.000 0.898
9 S 0.333 0.667 0.564
10 S 0.333 0.667 0.769
11 S 0.667 0.333 0.231
12 S 0.667 0.333 0.436

Below is an optimized crystal structure of MnCdS3, with properties calculated at the GGA-PBE level.

Properties
**ΔE_f (raw)**: 1.3745 eV/atom
**Excess energy over the best structure of this formula in the dataset**: 1346.2 meV per atom
**Symmetry**: No. 221
**Raw total energy**: -3.119 eV per atom

abc: 4.889 4.889 4.889
angles: 90.00 90.00 90.00
Fractional coordinates of all 5 atoms:
1 Mn 0.000 0.000 0.000
2 Cd 0.500 0.500 0.500
3 S 0.000 0.500 0.500
4 S 0.500 0.000 0.500
5 S 0.500 0.500 0.000

Below is an optimized crystal structure of Mn4CdS8, with properties calculated at the GGA-PBE level.

Properties
**ΔE_f (raw)**: -0.5268 eV/atom
**Symmetry**: No. 216
**Raw total energy**: -5.959 eV per atom

abc: 7.050 7.050 7.050
angles: 60.00 60.00 60.00
Fractional coordinates of all 13 atoms:
1 Mn 0.381 0.381 0.381
2 Mn 0.381 0.381 0.857
3 Mn 0.381 0.857 0.381
4 Mn 0.857 0.381 0.381
5 Cd 0.000 0.000 0.000
6 S 0.142 0.142 0.142
7 S 0.142 0.142 0.573
8 S 0.142 0.573 0.142
9 S 0.159 0.614 0.614
10 S 0.573 0.142 0.142
11 S 0.614 0.159 0.614
12 S 0.614 0.614 0.159
13 S 0.614 0.614 0.614

Below is an optimized crystal structure of MnCdS3, with properties calculated at the GGA-PBE level.

Properties
**ΔE_f (raw)**: 0.0283 eV/atom
**Excess energy over the best structure of this formula in the dataset**: 0.0 meV per atom
**Symmetry**: No. 221
**Raw total energy**: -4.465 eV per atom

abc: 4.604 4.604 4.604
angles: 90.00 90.00 90.00
Fractional coordinates of all 5 atoms:
1 Mn 0.000 0.000 0.000
2 Cd 0.500 0.500 0.500
3 S 0.000 0.000 0.500
4 S 0.000 0.500 0.000
5 S 0.500 0.000 0.000

Below is an optimized crystal structure of MnCd4S5, with properties calculated at the GGA-PBE level.

Properties
**ΔE_f (raw)**: -0.6188 eV/atom
**Excess energy over the best structure of this formula in the dataset**: 1.8 meV per atom
**Symmetry**: No. 8
**Raw total energy**: -3.966 eV per atom

abc: 12.884 12.884 9.842
angles: 104.49 104.49 18.55
Fractional coordinates of all 20 atoms:
1 Mn 0.000 0.000 0.000
2 Mn 0.200 0.200 0.602
3 Cd 0.165 0.165 0.169
4 Cd 0.368 0.368 0.772
5 Cd 0.402 0.402 0.199
6 Cd 0.569 0.569 0.368
7 Cd 0.600 0.600 0.799
8 Cd 0.767 0.767 0.963
9 Cd 0.798 0.798 0.401
10 Cd 0.967 0.967 0.571
11 S 0.041 0.041 0.804
12 S 0.071 0.071 0.217
13 S 0.239 0.239 0.403
14 S 0.272 0.272 0.815
15 S 0.448 0.448 0.993
16 S 0.477 0.477 0.429
17 S 0.647 0.647 0.594
18 S 0.676 0.676 0.028
19 S 0.842 0.842 0.192
20 S 0.875 0.875 0.627

Below is an optimized crystal structure of Mn2CdS, with properties calculated at the GGA-PBE level.

Properties
**ΔE_f (raw)**: 0.7923 eV/atom
**Excess energy over the best structure of this formula in the dataset**: 469.4 meV per atom
**Symmetry**: No. 225
**Raw total energy**: -5.053 eV per atom

abc: 5.995 5.995 5.995
angles: 90.00 90.00 90.00
Fractional coordinates of all 16 atoms:
1 Mn 0.250 0.250 0.250
2 Mn 0.250 0.250 0.750
3 Mn 0.250 0.750 0.250
4 Mn 0.250 0.750 0.750
5 Mn 0.750 0.250 0.250
6 Mn 0.750 0.250 0.750
7 Mn 0.750 0.750 0.250
8 Mn 0.750 0.750 0.750
9 Cd 0.000 0.000 0.000
10 Cd 0.000 0.500 0.500
11 Cd 0.500 0.000 0.500
12 Cd 0.500 0.500 0.000
13 S 0.000 0.000 0.500
14 S 0.000 0.500 0.000
15 S 0.500 0.000 0.000
16 S 0.500 0.500 0.500

Below is an optimized crystal structure of MnCdS2, with properties calculated at the GGA-PBE level.

Properties
**ΔE_f (raw)**: -0.5743 eV/atom
**Symmetry**: No. 156
**Raw total energy**: -5.159 eV per atom

abc: 4.092 4.092 6.632
angles: 90.00 90.00 120.00
Fractional coordinates of all 4 atoms:
1 Mn 0.000 0.000 0.000
2 Cd 0.667 0.333 0.493
3 S 0.000 0.000 0.637
4 S 0.667 0.333 0.107

Below is an optimized crystal structure of MnCd4S5, with properties calculated at the GGA-PBE level.

Properties
**ΔE_f (raw)**: -0.6206 eV/atom
**Excess energy over the best structure of this formula in the dataset**: 0.0 meV per atom
**Symmetry**: No. 8
**Raw total energy**: -3.967 eV per atom

abc: 10.976 10.976 6.747
angles: 90.01 90.01 141.81
Fractional coordinates of all 20 atoms:
1 Mn 0.201 0.799 0.000
2 Mn 0.799 0.201 0.000
3 Cd 0.061 0.265 0.497
4 Cd 0.265 0.061 0.497
5 Cd 0.395 0.603 0.000
6 Cd 0.467 0.871 0.497
7 Cd 0.603 0.395 0.000
8 Cd 0.664 0.664 0.499
9 Cd 0.871 0.467 0.497
10 Cd 0.999 0.999 0.000
11 S 0.001 0.001 0.620
12 S 0.051 0.262 0.116
13 S 0.199 0.798 0.642
14 S 0.262 0.051 0.116
15 S 0.398 0.601 0.620
16 S 0.472 0.883 0.115
17 S 0.601 0.398 0.620
18 S 0.659 0.659 0.119
19 S 0.798 0.199 0.642
20 S 0.883 0.472 0.115

Below is an optimized crystal structure of MnCdS2, with properties calculated at the GGA-PBE level.

Properties
**ΔE_f (raw)**: -0.2419 eV/atom
**Symmetry**: No. 122
**Raw total energy**: -4.827 eV per atom

abc: 5.623 5.623 10.303
angles: 90.00 90.00 90.00
Fractional coordinates of all 16 atoms:
1 Mn 0.000 0.000 0.000
2 Mn 0.000 0.500 0.250
3 Mn 0.500 0.000 0.750
4 Mn 0.500 0.500 0.500
5 Cd 0.000 0.000 0.500
6 Cd 0.000 0.500 0.750
7 Cd 0.500 0.000 0.250
8 Cd 0.500 0.500 0.000
9 S 0.184 0.250 0.125
10 S 0.250 0.684 0.375
11 S 0.250 0.816 0.875
12 S 0.316 0.250 0.625
13 S 0.684 0.750 0.625
14 S 0.750 0.184 0.875
15 S 0.750 0.316 0.375
16 S 0.816 0.750 0.125

Below is an optimized crystal structure of Mn4CdS5, with properties calculated at the GGA-PBE level.

Properties
**ΔE_f (raw)**: -0.4772 eV/atom
**Excess energy over the best structure of this formula in the dataset**: 0.0 meV per atom
**Symmetry**: No. 166
**Raw total energy**: -6.300 eV per atom

abc: 15.217 15.217 15.217
angles: 13.79 13.79 13.79
Fractional coordinates of all 10 atoms:
1 Mn 0.096 0.096 0.096
2 Mn 0.301 0.301 0.301
3 Mn 0.699 0.699 0.699
4 Mn 0.904 0.904 0.904
5 Cd 0.500 0.500 0.500
6 S 0.000 0.000 0.000
7 S 0.205 0.205 0.205
8 S 0.397 0.397 0.397
9 S 0.603 0.603 0.603
10 S 0.795 0.795 0.795

Below is an optimized crystal structure of Mn4CdS5, with properties calculated at the GGA-PBE level.

Properties
**ΔE_f (raw)**: -0.4574 eV/atom
**Excess energy over the best structure of this formula in the dataset**: 19.8 meV per atom
**Symmetry**: No. 87
**Raw total energy**: -6.281 eV per atom

abc: 6.430 6.430 6.430
angles: 99.60 99.60 131.79
Fractional coordinates of all 10 atoms:
1 Mn 0.104 0.301 0.405
2 Mn 0.301 0.896 0.197
3 Mn 0.699 0.104 0.803
4 Mn 0.896 0.699 0.595
5 Cd 0.500 0.500 0.000
6 S 0.000 0.000 0.000
7 S 0.190 0.605 0.795
8 S 0.395 0.190 0.584
9 S 0.605 0.810 0.416
10 S 0.810 0.395 0.205

Below is an optimized crystal structure of MnCdS2, with properties calculated at the GGA-PBE level.

Properties
**ΔE_f (raw)**: -0.5734 eV/atom
**Symmetry**: No. 160
**Raw total energy**: -5.158 eV per atom

abc: 4.089 4.089 19.894
angles: 90.00 90.00 120.00
Fractional coordinates of all 12 atoms:
1 Mn 0.000 0.000 0.000
2 Mn 0.333 0.667 0.667
3 Mn 0.667 0.333 0.333
4 Cd 0.000 0.000 0.498
5 Cd 0.333 0.667 0.164
6 Cd 0.667 0.333 0.831
7 S 0.000 0.000 0.369
8 S 0.000 0.000 0.879
9 S 0.333 0.667 0.036
10 S 0.333 0.667 0.546
11 S 0.667 0.333 0.213
12 S 0.667 0.333 0.702

Below is an optimized crystal structure of MnCdS2, with properties calculated at the GGA-PBE level.

Properties
**ΔE_f (raw)**: -0.4254 eV/atom
**Symmetry**: No. 166
**Raw total energy**: -5.010 eV per atom

abc: 3.299 3.299 25.626
angles: 90.00 90.00 120.00
Fractional coordinates of all 12 atoms:
1 Mn 0.000 0.000 0.000
2 Mn 0.333 0.667 0.667
3 Mn 0.667 0.333 0.333
4 Cd 0.000 0.000 0.500
5 Cd 0.333 0.667 0.167
6 Cd 0.667 0.333 0.833
7 S 0.000 0.000 0.385
8 S 0.000 0.000 0.615
9 S 0.333 0.667 0.052
10 S 0.333 0.667 0.281
11 S 0.667 0.333 0.719
12 S 0.667 0.333 0.948

Below is an optimized crystal structure of MnCd4S5, with properties calculated at the GGA-PBE level.

Properties
**ΔE_f (raw)**: -0.6096 eV/atom
**Excess energy over the best structure of this formula in the dataset**: 11.0 meV per atom
**Symmetry**: No. 160
**Raw total energy**: -3.956 eV per atom

abc: 17.072 17.072 17.072
angles: 13.96 13.96 13.96
Fractional coordinates of all 10 atoms:
1 Mn 0.000 0.000 0.000
2 Cd 0.201 0.201 0.201
3 Cd 0.398 0.398 0.398
4 Cd 0.603 0.603 0.603
5 Cd 0.800 0.800 0.800
6 S 0.047 0.047 0.047
7 S 0.252 0.252 0.252
8 S 0.449 0.449 0.449
9 S 0.654 0.654 0.654
10 S 0.850 0.850 0.850